Compound: RbCrMoO6
Source: the Alexandria database
Functional: PBE+U
Structure: optimized geometry

Unit cell a=5.1387 b=5.1172 c=6.3209 alpha=88.79 beta=91.50 gamma=62.72
Last column: nearest neighbours and their distance in Å.
Atoms (fractional coordinates):
O 0.4200 0.5686 0.3155  1 Cr 1.84, 1 Mo 2.02
O 0.6088 0.4138 0.6768  1 Mo 1.86, 1 Cr 2.01
O 0.9895 0.4015 0.3261  1 Cr 1.79
O 0.3833 0.0020 0.6720  1 Mo 1.81
Rb 0.0007 0.9959 0.0099  6 O 2.89-2.95
O 0.5999 0.9889 0.3323  1 Cr 1.70
Cr 0.6788 0.6640 0.4590  3 O 1.70-1.84
Mo 0.3225 0.3449 0.5406  4 O 1.81-2.02
O 0.9962 0.6205 0.6676  1 Mo 1.84, 1 Cr 2.00

Summary:
* space group: P1, No. 1
* total moment: 1.0 μB per formula unit
* total energy: -6.553 eV per atom